[1]
A plane-wave DFT calculation with GGA-PBE was carried out for crystalline Cd2PAu at its relaxed geometry.

Summary:
M_tot in μB per formula unit: 0.00
Formation energy from the elements in eV/atom: -0.0061
Calculated total energy in eV/atom: -2.64

```
data_Cd2PAu
_chemical_formula_sum 'Cd4 P2 Au2'
_cell_length_a 5.372
_cell_length_b 5.424
_cell_length_c 6.129
_cell_angle_alpha 90.37
_cell_angle_beta 101.71
_cell_angle_gamma 104.37
_symmetry_space_group_name_H-M 'P 1'
_symmetry_Int_Tables_number 1
loop_
_symmetry_equiv_pos_as_xyz
'x,y,z'
loop_
_atom_site_label
_atom_site_fract_x
_atom_site_fract_y
_atom_site_fract_z
Cd1 0.000 0.000 0.000
Cd2 0.026 0.932 0.511
Cd3 0.593 0.404 0.014
Cd4 0.624 0.293 0.523
P1 0.133 0.510 0.126
P2 0.142 0.463 0.479
Au1 0.514 0.899 0.163
Au2 0.544 0.780 0.671
```

***

[2]
A plane-wave DFT calculation with GGA-PBE was carried out for crystalline LaTm2Sc5 at its relaxed geometry.

Summary:
M_tot in μB per formula unit: 0.00
Formation energy from the elements in eV/atom: 0.0634
Calculated total energy in eV/atom: -5.63

```
data_LaTm2Sc5
_chemical_formula_sum 'La2 Tm4 Sc10'
_cell_length_a 6.822
_cell_length_b 6.822
_cell_length_c 9.296
_cell_angle_alpha 90.00
_cell_angle_beta 90.00
_cell_angle_gamma 90.00
_symmetry_space_group_name_H-M 'I 4/m m m'
_symmetry_Int_Tables_number 139
_symmetry_space_group_name_Hall '-I 4 2'
loop_
_atom_site_label
_atom_site_fract_x
_atom_site_fract_y
_atom_site_fract_z
La1 0.000 0.000 0.000
Tm1 0.000 0.500 0.000
Sc1 0.000 0.000 0.500
Sc2 0.250 0.250 0.250
```

***

[3]
A plane-wave DFT calculation with GGA-PBE was carried out for crystalline YCu2P at its relaxed geometry.

Summary:
M_tot in μB per formula unit: 0.00
Formation energy from the elements in eV/atom: -0.1747
Calculated total energy in eV/atom: -5.19

```
data_YCu2P
_chemical_formula_sum 'Y4 Cu8 P4'
_cell_length_a 5.395
_cell_length_b 5.513
_cell_length_c 9.821
_cell_angle_alpha 90.00
_cell_angle_beta 90.00
_cell_angle_gamma 90.00
_symmetry_space_group_name_H-M 'F m m m'
_symmetry_Int_Tables_number 69
_symmetry_space_group_name_Hall '-F 2 2'
loop_
_atom_site_label
_atom_site_fract_x
_atom_site_fract_y
_atom_site_fract_z
Y1 0.000 0.000 0.000
Cu1 0.000 0.250 0.250
P1 0.000 0.000 0.500
```

***

[4]
A plane-wave DFT calculation with GGA-PBE was carried out for crystalline AsAuNF at its relaxed geometry.

Summary:
Excess energy over the best structure of this formula in the dataset in meV per atom: 246
M_tot in μB per formula unit: 0.00
Raw formation energy in eV per atom: -0.16
Calculated total energy in eV/atom: -4.69

```
data_AsAuNF
_chemical_formula_sum 'As3 Au3 N3 F3'
_cell_length_a 3.1165
_cell_length_b 3.1165
_cell_length_c 21.1347
_cell_angle_alpha 90.00
_cell_angle_beta 90.00
_cell_angle_gamma 120.00
_symmetry_space_group_name_H-M 'R 3 m'
_symmetry_Int_Tables_number 160
_symmetry_space_group_name_Hall 'R 3 -2"'
loop_
_atom_site_label
_atom_site_fract_x
_atom_site_fract_y
_atom_site_fract_z
As1 0.0000 0.0000 0.0000
Au1 0.0000 0.0000 0.4800
N1 0.0000 0.0000 0.3814
F1 0.0000 0.0000 0.5792
```

***

[5]
A plane-wave DFT calculation with GGA-PBE was carried out for crystalline AlIn3 at its relaxed geometry.

Summary:
M_tot in μB per formula unit: 0.00
Formation energy from the elements in eV/atom: 0.1289
Calculated total energy in eV/atom: -2.86

```
data_AlIn3
_chemical_formula_sum 'Al2 In6'
_cell_length_a 3.107
_cell_length_b 5.511
_cell_length_c 11.735
_cell_angle_alpha 90.00
_cell_angle_beta 90.00
_cell_angle_gamma 90.00
_symmetry_space_group_name_H-M 'I m m m'
_symmetry_Int_Tables_number 71
_symmetry_space_group_name_Hall '-I 2 2'
loop_
_atom_site_label
_atom_site_fract_x
_atom_site_fract_y
_atom_site_fract_z
Al1 0.000 0.000 0.000
In1 0.000 0.000 0.500
In2 0.000 0.500 0.279
```

***

[6]
A plane-wave DFT calculation with GGA-PBE was carried out for crystalline K2Bi3Pt2 at its relaxed geometry.

Summary:
M_tot in μB per formula unit: 0.00
Formation energy from the elements in eV/atom: -0.2876
Calculated total energy in eV/atom: -3.99

```
data_K2Bi3Pt2
_chemical_formula_sum 'K4 Bi6 Pt4'
_cell_length_a 12.305
_cell_length_b 4.525
_cell_length_c 8.538
_cell_angle_alpha 90.00
_cell_angle_beta 117.16
_cell_angle_gamma 90.00
_symmetry_space_group_name_H-M 'C 1 2/m 1'
_symmetry_Int_Tables_number 12
loop_
_symmetry_equiv_pos_as_xyz
'x,y,z'
'-x,-y,-z'
'-x,y,-z'
'x,-y,z'
'x+1/2,y+1/2,z'
'-x+1/2,-y+1/2,-z'
'-x+1/2,y+1/2,-z'
'x+1/2,-y+1/2,z'
loop_
_atom_site_label
_atom_site_fract_x
_atom_site_fract_y
_atom_site_fract_z
K1 0.156 0.000 0.303
Bi1 0.000 0.500 0.500
Bi2 0.133 0.500 0.946
Pt1 0.136 0.000 0.759
```